SrMoBrO4: relaxed, PBE+U.

The structure in POSCAR format:
```
SrMoBrO4
1.0
6.368 -3.428 0.000
6.368 3.428 0.000
-1.616 0.000 7.156
Sr Mo Br O
2 2 2 8
Cartesian
2.115 0.000 2.335
9.005 0.000 4.820
0.471 0.000 5.360
10.649 0.000 1.796
4.839 0.000 6.010
6.281 0.000 1.146
-0.309 0.000 1.938
3.551 2.010 2.666
0.940 0.000 7.076
7.570 2.010 4.490
3.551 -2.010 2.666
10.180 0.000 0.080
7.570 -2.010 4.490
11.429 0.000 5.218
```

Values from the calculation:
**Raw total energy**: -6.211 eV/atom
**Total magnetic moment**: 0.000 μB per atom